The following is a PBE-GGA calculation of a geometry-optimized MnAg2Pt structure, from the Alexandria database.

Lattice parameters (Å, degrees): 2.895 4.745 9.614 90.00 90.00 90.00
Space group Cmmm (No. 65)
Inequivalent atoms, fractional coordinates:
Mn 0.000 0.000 0.000
Ag 0.000 0.500 0.244
Pt 0.000 0.000 0.500

## Properties
calculated formation energy	19.40	kJ/mol of atoms
distance to the lowest polymorph of the same formula	247	meV per atom

---

The following is a PBE-GGA calculation of a geometry-optimized Tm6As2C structure, from the Alexandria database.

Lattice parameters (Å, degrees): 6.179 7.377 10.943 90.00 122.42 90.00
Space group P2_1/c (No. 14)
Inequivalent atoms, fractional coordinates:
Tm 0.119 0.169 0.448
Tm 0.308 0.700 0.447
Tm 0.379 0.029 0.251
As 0.180 0.117 0.750
C 0.500 0.000 0.500

## Properties
calculated formation energy	-72.81	kJ/mol of atoms

---

The following is a PBE-GGA calculation of a geometry-optimized CaS2Cl structure, from the Alexandria database.

Lattice parameters (Å, degrees): 4.3750 4.3750 21.2049 90.00 90.00 120.00
Space group R-3m (No. 166, hexagonal axes)
Inequivalent atoms, fractional coordinates:
Ca 0.0000 0.0000 0.0000
S 0.0000 0.0000 0.3916
Cl 0.0000 0.0000 0.5000

## Properties
distance to the lowest polymorph of the same formula	0	meV per atom

---

The following is a PBE-GGA calculation of a geometry-optimized TmCo5C2 structure, from the Alexandria database.

Lattice parameters (Å, degrees): 3.506 5.976 7.996 90.00 90.00 90.00
Space group Immm (No. 71)
Inequivalent atoms, fractional coordinates:
Tm 0.000 0.000 0.000
Co 0.000 0.198 0.342
Co 0.000 0.500 0.000
C 0.000 0.500 0.242

## Properties
calculated formation energy	-1.67	kJ/mol of atoms

---

The following is a PBE-GGA calculation of a geometry-optimized Pm2Pr3Tm8 structure, from the Alexandria database.

Lattice parameters (Å, degrees): 6.174 6.189 11.247 89.84 79.35 80.37
Space group P-1 (No. 2)
Inequivalent atoms, fractional coordinates:
Pm 0.116 0.230 0.038
Pr 0.269 0.538 0.421
Pr 0.500 0.000 0.500
Tm 0.036 0.075 0.343
Tm 0.192 0.387 0.734
Tm 0.347 0.692 0.114
Tm 0.424 0.848 0.810

## Properties
calculated formation energy	2.45	kJ/mol of atoms
distance to the lowest polymorph of the same formula	0	meV per atom

---

The following is a PBE-GGA calculation of a geometry-optimized Er6In2Rh structure, from the Alexandria database.

Lattice parameters (Å, degrees): 3.787 14.865 8.597 90.00 90.00 90.00
Space group Amm2 (No. 38)
Inequivalent atoms, fractional coordinates:
Er 0.000 0.000 0.000
Er 0.000 0.121 0.634
Er 0.500 0.000 0.363
Er 0.500 0.196 0.952
In 0.000 0.167 0.256
Rh 0.500 0.000 0.758

## Properties
calculated formation energy	-43.91	kJ/mol of atoms
distance to the lowest polymorph of the same formula	0	meV per atom

---

The following is a PBE-GGA calculation of a geometry-optimized LaPmSmTm3 structure, from the Alexandria database.

Lattice parameters (Å, degrees): 5.856 11.476 11.723 90.00 90.00 90.00
Space group Cmcm (No. 63)
Inequivalent atoms, fractional coordinates:
La 0.000 0.010 0.250
Pm 0.000 0.323 0.250
Sm 0.000 0.500 0.000
Tm 0.000 0.174 0.508
Tm 0.000 0.335 0.750

## Properties
calculated formation energy	10.97	kJ/mol of atoms

---

The following is a PBE-GGA calculation of a geometry-optimized NiIrSe2 structure, from the Alexandria database.

Lattice parameters (Å, degrees): 3.2429 3.2429 23.0209 90.00 90.00 120.00
Space group R-3m (No. 166, hexagonal axes)
Inequivalent atoms, fractional coordinates:
Ni 0.0000 0.0000 0.0000
Ir 0.0000 0.0000 0.5000
Se 0.0000 0.0000 0.3968

## Properties
DFT total energy	-62.5	eV per cell